1.
! Sr2Tl2Pb (GGA-PBE, optimized geometry); values from VASP
! * ΔE_f: -0.200 eV/atom
! * M_tot: 0.00 μB per formula unit
! * space-group type: P4/mbm
! * DOS(E_F): 7.9 states/eV/cell
! * calculated volume: 361.4 Å³/cell
! * E above lowest polymorph: 180.1 meV per atom
! * final energy: -2.56 eV per atom
&SYSTEM
  ibrav = 0, nat = 10, ntyp = 3
/
ATOMIC_SPECIES
Sr 87.62 Sr.upf
Tl 204.38 Tl.upf
Pb 207.20 Pb.upf
ATOMIC_POSITIONS crystal
Sr 0.163 0.337 0.000
Sr 0.337 0.837 0.000
Sr 0.663 0.163 0.000
Sr 0.837 0.663 0.000
Tl 0.137 0.637 0.500
Tl 0.363 0.137 0.500
Tl 0.637 0.863 0.500
Tl 0.863 0.363 0.500
Pb 0.000 0.000 0.000
Pb 0.500 0.500 0.000
CELL_PARAMETERS angstrom
9.345 0.000 0.000
0.000 9.345 0.000
0.000 0.000 4.139

2.
! CdRh2 (GGA-PBE, optimized geometry); values from VASP
! * ΔE_f: 0.457 eV/atom
! * M_tot: 1.40 μB per formula unit
! * space-group type: I4/mcm
! * DOS(E_F): 9.1 states/eV/cell
! * calculated volume: 103.3 Å³/cell
! * final energy: -4.75 eV per atom
&SYSTEM
  ibrav = 0, nat = 6, ntyp = 2
/
ATOMIC_SPECIES
Cd 112.41 Cd.upf
Rh 102.91 Rh.upf
ATOMIC_POSITIONS crystal
Cd 0.250 0.250 0.000
Cd 0.750 0.750 0.000
Rh 0.138 0.638 0.777
Rh 0.362 0.138 0.500
Rh 0.638 0.862 0.500
Rh 0.862 0.362 0.223
CELL_PARAMETERS angstrom
-3.131 3.131 2.634
3.131 -3.131 2.634
3.131 3.131 -2.634

3.
! Y2ZnMo2 (GGA-PBE, optimized geometry); values from VASP
! * ΔE_f: 0.189 eV/atom
! * M_tot: 0.00 μB per formula unit
! * space-group type: P4/mbm
! * DOS(E_F): 6.6 states/eV/cell
! * calculated volume: 218.7 Å³/cell
! * final energy: -6.98 eV per atom
&SYSTEM
  ibrav = 0, nat = 10, ntyp = 3
/
ATOMIC_SPECIES
Y 88.91 Y.upf
Zn 65.41 Zn.upf
Mo 95.94 Mo.upf
ATOMIC_POSITIONS crystal
Y 0.180 0.320 0.000
Y 0.320 0.820 0.000
Y 0.680 0.180 0.000
Y 0.820 0.680 0.000
Zn 0.000 0.000 0.500
Zn 0.500 0.500 0.500
Mo 0.118 0.618 0.500
Mo 0.382 0.118 0.500
Mo 0.618 0.882 0.500
Mo 0.882 0.382 0.500
CELL_PARAMETERS angstrom
7.053 0.000 0.000
0.000 7.053 0.000
0.000 0.000 4.397

4.
! SbTeRh2 (GGA-PBE, optimized geometry); values from VASP
! * raw formation energy: 13 meV per atom
! * M_tot: 0.00 μB per formula unit
! * space-group type: I-4m2
! * DOS(E_F): 2.3 states/eV/cell
! * calculated volume: 74.6 Å³/cell
! * final energy: -5.48 eV per atom
&SYSTEM
  ibrav = 0, nat = 4, ntyp = 3
/
ATOMIC_SPECIES
Sb 121.76 Sb.upf
Te 127.60 Te.upf
Rh 102.91 Rh.upf
ATOMIC_POSITIONS crystal
Sb 0.000 0.000 0.000
Te 0.250 0.750 0.500
Rh 0.500 0.500 0.000
Rh 0.750 0.250 0.500
CELL_PARAMETERS angstrom
-1.979 1.979 4.763
1.979 -1.979 4.763
1.979 1.979 -4.763

5.
! Cs3Bi2 (GGA-PBE, optimized geometry); values from VASP
! * ΔE_f: -0.275 eV/atom
! * M_tot: 0.00 μB per formula unit
! * space-group type: Fdd2
! * DOS(E_F): 8.1 states/eV/cell
! * calculated volume: 513.2 Å³/cell
! * E above lowest polymorph: 79.4 meV per atom
! * final energy: -2.34 eV per atom
&SYSTEM
  ibrav = 0, nat = 10, ntyp = 2
/
ATOMIC_SPECIES
Cs 132.91 Cs.upf
Bi 208.98 Bi.upf
ATOMIC_POSITIONS crystal
Cs 0.000 0.000 0.000
Cs 0.250 0.250 0.250
Cs 0.430 0.541 0.351
Cs 0.541 0.430 0.678
Cs 0.572 0.899 0.709
Cs 0.899 0.572 0.820
Bi 0.120 0.708 0.333
Bi 0.411 0.917 0.542
Bi 0.708 0.120 0.839
Bi 0.917 0.411 0.130
CELL_PARAMETERS angstrom
0.000 11.778 3.045
7.154 0.000 3.045
7.154 11.778 0.000

6.
! Mg2PC (GGA-PBE, optimized geometry); values from VASP
! * ΔE_f: 0.683 eV/atom
! * M_tot: 0.00 μB per formula unit
! * space-group type: Fm-3m
! * DOS(E_F): 1.8 states/eV/cell
! * calculated volume: 57.8 Å³/cell
! * E above lowest polymorph: 156.2 meV per atom
! * final energy: -3.77 eV per atom
&SYSTEM
  ibrav = 0, nat = 4, ntyp = 3
/
ATOMIC_SPECIES
Mg 24.30 Mg.upf
P 30.97 P.upf
C 12.01 C.upf
ATOMIC_POSITIONS crystal
Mg 0.250 0.250 0.250
Mg 0.750 0.750 0.750
P 0.000 0.000 0.000
C 0.500 0.500 0.500
CELL_PARAMETERS angstrom
0.000 3.069 3.069
3.069 0.000 3.069
3.069 3.069 0.000

7.
! HoSi2Pt4 (GGA-PBE, optimized geometry); values from VASP
! * raw formation energy: -912 meV per atom
! * M_tot: 0.00 μB per formula unit
! * space-group type: Pnma
! * DOS(E_F): 12.5 states/eV/cell
! * calculated volume: 463.7 Å³/cell
! * E above lowest polymorph: 0.0 meV per atom
! * final energy: -6.57 eV per atom
&SYSTEM
  ibrav = 0, nat = 28, ntyp = 3
/
ATOMIC_SPECIES
Ho 164.93 Ho.upf
Si 28.09 Si.upf
Pt 195.08 Pt.upf
ATOMIC_POSITIONS crystal
Ho 0.140 0.250 0.043
Ho 0.360 0.750 0.543
Ho 0.640 0.250 0.457
Ho 0.860 0.750 0.957
Si 0.039 0.750 0.249
Si 0.210 0.250 0.600
Si 0.290 0.750 0.100
Si 0.461 0.250 0.749
Si 0.539 0.750 0.251
Si 0.710 0.250 0.900
Si 0.790 0.750 0.400
Si 0.961 0.250 0.751
Pt 0.031 0.750 0.858
Pt 0.069 0.250 0.514
Pt 0.174 0.750 0.370
Pt 0.214 0.750 0.793
Pt 0.286 0.250 0.293
Pt 0.326 0.250 0.870
Pt 0.431 0.750 0.014
Pt 0.469 0.250 0.358
Pt 0.531 0.750 0.642
Pt 0.569 0.250 0.986
Pt 0.674 0.750 0.130
Pt 0.714 0.750 0.707
Pt 0.786 0.250 0.207
Pt 0.826 0.250 0.630
Pt 0.931 0.750 0.486
Pt 0.969 0.250 0.142
CELL_PARAMETERS angstrom
16.931 0.000 0.000
0.000 4.188 0.000
0.000 0.000 6.539

8.
! TbPmHg4 (GGA-PBE, optimized geometry); values from VASP
! * ΔE_f: -0.182 eV/atom
! * M_tot: 0.00 μB per formula unit
! * space-group type: Pmmm
! * DOS(E_F): 3.7 states/eV/cell
! * calculated volume: 178.9 Å³/cell
! * E above lowest polymorph: 171.7 meV per atom
! * final energy: -1.95 eV per atom
&SYSTEM
  ibrav = 0, nat = 6, ntyp = 3
/
ATOMIC_SPECIES
Tb 158.93 Tb.upf
Pm 145.00 Pm.upf
Hg 200.59 Hg.upf
ATOMIC_POSITIONS crystal
Tb 0.000 0.000 0.000
Pm 0.500 0.500 0.500
Hg 0.000 0.500 0.243
Hg 0.000 0.500 0.757
Hg 0.500 0.000 0.244
Hg 0.500 0.000 0.756
CELL_PARAMETERS angstrom
4.545 0.000 0.000
0.000 4.560 0.000
0.000 0.000 8.633

9.
! BeCd2Cl (GGA-PBE, optimized geometry); values from VASP
! * raw formation energy: 177 meV per atom
! * M_tot: 0.00 μB per formula unit
! * space-group type: Immm
! * DOS(E_F): 1.1 states/eV/cell
! * calculated volume: 86.0 Å³/cell
! * E above lowest polymorph: 362.7 meV per atom
! * final energy: -1.67 eV per atom
&SYSTEM
  ibrav = 0, nat = 4, ntyp = 3
/
ATOMIC_SPECIES
Be 9.01 Be.upf
Cd 112.41 Cd.upf
Cl 35.45 Cl.upf
ATOMIC_POSITIONS crystal
Be 0.000 0.000 0.000
Cd 0.220 0.720 0.500
Cd 0.780 0.280 0.500
Cl 0.500 0.500 0.000
CELL_PARAMETERS angstrom
-1.686 2.992 4.264
1.686 -2.992 4.264
1.686 2.992 -4.264

10.
! Sm4DyEr2Th (GGA-PBE, optimized geometry); values from VASP
! * ΔE_f: 0.034 eV/atom
! * M_tot: 0.00 μB per formula unit
! * space-group type: P4/mmm
! * DOS(E_F): 11.1 states/eV/cell
! * calculated volume: 259.9 Å³/cell
! * final energy: -4.97 eV per atom
&SYSTEM
  ibrav = 0, nat = 8, ntyp = 4
/
ATOMIC_SPECIES
Sm 150.36 Sm.upf
Dy 162.50 Dy.upf
Er 167.26 Er.upf
Th 232.04 Th.upf
ATOMIC_POSITIONS crystal
Sm 0.000 0.500 0.249
Sm 0.000 0.500 0.751
Sm 0.500 0.000 0.249
Sm 0.500 0.000 0.751
Dy 0.000 0.000 0.500
Er 0.000 0.000 0.000
Er 0.500 0.500 0.500
Th 0.500 0.500 0.000
CELL_PARAMETERS angstrom
5.056 0.000 0.000
0.000 5.056 0.000
0.000 0.000 10.166

11.
! KNa3Be (GGA-PBE, optimized geometry); values from VASP
! * ΔE_f: 0.418 eV/atom
! * M_tot: 0.00 μB per formula unit
! * space-group type: Pm-3m
! * DOS(E_F): 2.3 states/eV/cell
! * calculated volume: 186.0 Å³/cell
! * E above lowest polymorph: 0.0 meV per atom
! * final energy: -1.34 eV per atom
&SYSTEM
  ibrav = 0, nat = 5, ntyp = 3
/
ATOMIC_SPECIES
K 39.10 K.upf
Na 22.99 Na.upf
Be 9.01 Be.upf
ATOMIC_POSITIONS crystal
K 0.000 0.000 0.000
Na 0.000 0.500 0.500
Na 0.500 0.000 0.500
Na 0.500 0.500 0.000
Be 0.500 0.500 0.500
CELL_PARAMETERS angstrom
5.708 0.000 0.000
0.000 5.708 0.000
0.000 0.000 5.708

12.
! TaCrN3 (GGA-PBE, optimized geometry); values from VASP
! * raw formation energy: 417 meV per atom
! * M_tot: 0.00 μB per formula unit
! * space-group type: Pm-3m
! * DOS(E_F): 3.9 states/eV/cell
! * calculated volume: 48.6 Å³/cell
! * final energy: -8.87 eV per atom
&SYSTEM
  ibrav = 0, nat = 5, ntyp = 3
/
ATOMIC_SPECIES
Ta 180.95 Ta.upf
Cr 52.00 Cr.upf
N 14.01 N.upf
ATOMIC_POSITIONS crystal
Ta 0.000 0.000 0.000
Cr 0.500 0.500 0.500
N 0.000 0.500 0.500
N 0.500 0.000 0.500
N 0.500 0.500 0.000
CELL_PARAMETERS angstrom
3.650 0.000 0.000
0.000 3.650 0.000
0.000 0.000 3.650